An optimized crystal structure of K2NdCrF8. Source: the Alexandria database, functional PBE with a Hubbard U.

Cell and atoms, written as POSCAR:
```
K2NdCrF8
1.0
4.254 -0.246 -0.002
-0.216 6.162 -0.007
0.004 0.009 7.284
F K Cr Nd
8 2 1 1
Direct
0.079 0.808 0.781
0.921 0.192 0.219
0.383 0.187 0.000
0.617 0.813 0.000
0.479 0.215 0.500
0.521 0.785 0.500
0.079 0.808 0.219
0.921 0.192 0.781
0.500 0.500 0.231
0.500 0.500 0.769
0.000 0.000 0.000
0.000 0.000 0.500
```

Computed properties:
total moment: 3.00 μB/f.u.
electronic total energy: -5.612 eV/atom